This record from Alexandria via LeMat-Bulk describes a geometry-optimized Ca2NdGe3Pt4 structure. The functional is PBE-GGA.

a = 4.3646 Å, b = 4.3646 Å, c = 11.1632 Å
α = 90.00°, β = 90.00°, γ = 90.00°
Last column: nearest neighbours and their distance in Å.
Fractional coordinates of all 10 atoms:
Ca (0.0000, 0.5000, 0.2226)  4 Ge 3.30, 8 Pt 3.31-3.33
Ca (0.5000, 0.0000, 0.7774)  4 Ge 3.30, 8 Pt 3.31-3.33
Nd (0.0000, 0.0000, 0.5000)  4 Pt 2.86, 4 Ge 3.09
Ge (0.0000, 0.5000, 0.8827)  5 Pt 2.42-2.55
Ge (0.5000, 0.0000, 0.1173)  5 Pt 2.42-2.55
Ge (0.5000, 0.5000, 0.5000)  4 Pt 2.86, 4 Nd 3.09
Pt (0.0000, 0.0000, 0.0000)  4 Ge 2.55
Pt (0.0000, 0.5000, 0.6658)  1 Ge 2.42
Pt (0.5000, 0.0000, 0.3342)  1 Ge 2.42
Pt (0.5000, 0.5000, 0.0000)  4 Ge 2.55

Results
**E_tot**: -55.1 eV per cell
**Spin magnetization**: 0.0 μB/cell
**Energy of formation**: -830 meV per atom
**Crystal system**: tetragonal

This record from Alexandria via LeMat-Bulk describes a geometry-optimized CaNdGeRh structure. The functional is PBE-GGA.

a = 3.9510 Å, b = 5.9766 Å, c = 5.9766 Å
α = 43.19°, β = 90.00°, γ = 90.00°
Last column: nearest neighbours and their distance in Å.
Fractional coordinates of all 4 atoms:
Ca (0.0000, 0.0000, 0.0000)  4 Ge 3.08, 3 Rh 3.09-3.30
Nd (0.5000, 0.2849, 0.2849)  4 Rh 3.04, 3 Ge 3.18-3.26
Ge (0.5000, 0.5784, 0.5784)  2 Rh 2.54
Rh (0.0000, 0.7218, 0.7218)  2 Ge 2.54

Results
**E_tot**: -21.5 eV per cell
**Spin magnetization**: 0.0 μB/cell
**Energy of formation**: -679 meV per atom
**Crystal system**: orthorhombic
**Polymorph energy (0 for the lowest one)**: 0.0000 eV/atom

This record from Alexandria via LeMat-Bulk describes a geometry-optimized CaNdGeRh structure. The functional is PBE-GGA.

a = 5.0534 Å, b = 5.0534 Å, c = 5.0534 Å
α = 60.00°, β = 60.00°, γ = 60.00°
Last column: nearest neighbours and their distance in Å.
Fractional coordinates of all 4 atoms:
Ca (0.0000, 0.0000, 0.0000)  4 Ge 3.09, 4 Rh 3.09
Nd (0.5000, 0.5000, 0.5000)  4 Ge 3.09, 4 Rh 3.09
Ge (0.2500, 0.2500, 0.2500)  4 Ca 3.09, 4 Nd 3.09
Rh (0.7500, 0.7500, 0.7500)  4 Nd 3.09, 4 Ca 3.09

Results
**E_tot**: -20.8 eV per cell
**Spin magnetization**: 0.0 μB/cell
**Energy of formation**: -527 meV per atom
**Crystal system**: cubic
**Polymorph energy (0 for the lowest one)**: 0.1522 eV/atom

This record from Alexandria via LeMat-Bulk describes a geometry-optimized CaNdZnGe structure. The functional is PBE-GGA.

a = 5.1737 Å, b = 5.1737 Å, c = 5.1737 Å
α = 60.00°, β = 60.00°, γ = 60.00°
Last column: nearest neighbours and their distance in Å.
Fractional coordinates of all 4 atoms:
Ca (0.0000, 0.0000, 0.0000)  4 Ge 3.17, 4 Zn 3.17
Nd (0.5000, 0.5000, 0.5000)  4 Ge 3.17, 4 Zn 3.17
Zn (0.2500, 0.2500, 0.2500)  4 Ca 3.17, 4 Nd 3.17
Ge (0.7500, 0.7500, 0.7500)  4 Nd 3.17, 4 Ca 3.17

Results
**E_tot**: -14.5 eV per cell
**Spin magnetization**: 0.0 μB/cell
**Energy of formation**: -469 meV per atom
**Crystal system**: cubic

This record from Alexandria via LeMat-Bulk describes a geometry-optimized Ca2Ni2Ge structure. The functional is PBE-GGA.

a = 5.2256 Å, b = 5.2256 Å, c = 5.2256 Å
α = 116.49°, β = 116.49°, γ = 96.19°
Last column: nearest neighbours and their distance in Å.
Fractional coordinates of all 5 atoms:
Ca (0.2500, 0.7500, 0.5000)  4 Ni 2.81
Ca (0.7500, 0.2500, 0.5000)  4 Ni 2.81
Ni (0.1692, 0.1692, 0.0000)  1 Ge 2.31, 1 Ni 2.36
Ni (0.8308, 0.8308, 0.0000)  1 Ge 2.31, 1 Ni 2.36
Ge (0.5000, 0.5000, 0.0000)  2 Ni 2.31

Results
**E_tot**: -20.9 eV per cell
**Spin magnetization**: 0.0 μB/cell
**Energy of formation**: -144 meV per atom
**Crystal system**: tetragonal

This record from Alexandria via LeMat-Bulk describes a geometry-optimized CaNi3Ge2 structure. The functional is PBE-GGA.

a = 7.7172 Å, b = 7.7172 Å, c = 7.2692 Å
α = 113.91°, β = 113.91°, γ = 29.06°
Last column: nearest neighbours and their distance in Å.
Fractional coordinates of all 12 atoms:
Ca (0.1525, 0.1525, 0.0680)  7 Ge 3.06-3.16, 7 Ni 3.21-3.37
Ca (0.8475, 0.8475, 0.9320)  7 Ge 3.06-3.16, 7 Ni 3.21-3.37
Ni (0.0379, 0.0379, 0.3753)  3 Ge 2.32-2.35, 1 Ni 2.51
Ni (0.3164, 0.3164, 0.5575)  4 Ge 2.37-2.52, 3 Ni 2.50-2.64
Ni (0.4128, 0.4128, 0.3473)  3 Ge 2.34-2.42, 1 Ni 2.50
Ni (0.5872, 0.5872, 0.6527)  3 Ge 2.34-2.42, 1 Ni 2.50
Ni (0.6836, 0.6836, 0.4425)  4 Ge 2.37-2.52, 3 Ni 2.50-2.64
Ni (0.9621, 0.9621, 0.6247)  3 Ge 2.32-2.35, 1 Ni 2.51
Ge (0.1869, 0.1869, 0.6675)  6 Ni 2.35-2.52
Ge (0.4801, 0.4801, 0.8127)  4 Ni 2.32-2.37, 1 Ge 2.53
Ge (0.5199, 0.5199, 0.1873)  4 Ni 2.32-2.37, 1 Ge 2.53
Ge (0.8131, 0.8131, 0.3325)  6 Ni 2.35-2.52

Results
**E_tot**: -62.4 eV per cell
**Spin magnetization**: 0.0 μB/cell
**Energy of formation**: -440 meV per atom
**Crystal system**: monoclinic

This record from Alexandria via LeMat-Bulk describes a geometry-optimized Ca3Ni3Ge2 structure. The functional is PBE-GGA.

a = 7.5513 Å, b = 14.4509 Å, c = 5.8081 Å
α = 90.00°, β = 90.00°, γ = 90.00°
Last column: nearest neighbours and their distance in Å.
Fractional coordinates of all 32 atoms:
Ca (0.0137, 0.1064, 0.1409)  4 Ni 2.85-3.13, 3 Ge 3.03-3.18
Ca (0.0137, 0.3936, 0.1409)  4 Ni 2.85-3.13, 3 Ge 3.03-3.18
Ca (0.1544, 0.2500, 0.6095)  4 Ni 2.79-3.07, 2 Ge 3.05
Ca (0.3456, 0.7500, 0.1095)  4 Ni 2.79-3.07, 2 Ge 3.05
Ca (0.4863, 0.6064, 0.6409)  4 Ni 2.85-3.13, 3 Ge 3.03-3.18
Ca (0.4863, 0.8936, 0.6409)  4 Ni 2.85-3.13, 3 Ge 3.03-3.18
Ca (0.5137, 0.1064, 0.3591)  4 Ni 2.85-3.13, 3 Ge 3.03-3.18
Ca (0.5137, 0.3936, 0.3591)  4 Ni 2.85-3.13, 3 Ge 3.03-3.18
Ca (0.6544, 0.2500, 0.8905)  4 Ni 2.79-3.07, 2 Ge 3.05
Ca (0.8456, 0.7500, 0.3905)  4 Ni 2.79-3.07, 2 Ge 3.05
Ca (0.9863, 0.6064, 0.8591)  4 Ni 2.85-3.13, 3 Ge 3.03-3.18
Ca (0.9863, 0.8936, 0.8591)  4 Ni 2.85-3.13, 3 Ge 3.03-3.18
Ni (0.1482, 0.0377, 0.5996)  3 Ge 2.37-2.39
Ni (0.1482, 0.4623, 0.5996)  3 Ge 2.37-2.39
Ni (0.1927, 0.7500, 0.5566)  2 Ge 2.48
Ni (0.3073, 0.2500, 0.0566)  2 Ge 2.48
Ni (0.3518, 0.5377, 0.0996)  3 Ge 2.37-2.39
Ni (0.3518, 0.9623, 0.0996)  3 Ge 2.37-2.39
Ni (0.6482, 0.0377, 0.9004)  3 Ge 2.37-2.39
Ni (0.6482, 0.4623, 0.9004)  3 Ge 2.37-2.39
Ni (0.6927, 0.7500, 0.9434)  2 Ge 2.48
Ni (0.8073, 0.2500, 0.4434)  2 Ge 2.48
Ni (0.8518, 0.5377, 0.4004)  3 Ge 2.37-2.39
Ni (0.8518, 0.9623, 0.4004)  3 Ge 2.37-2.39
Ge (0.1447, 0.5987, 0.3666)  4 Ni 2.37-2.48
Ge (0.1447, 0.9013, 0.3666)  4 Ni 2.37-2.48
Ge (0.3553, 0.0987, 0.8666)  4 Ni 2.37-2.48
Ge (0.3553, 0.4013, 0.8666)  4 Ni 2.37-2.48
Ge (0.6447, 0.5987, 0.1334)  4 Ni 2.37-2.48
Ge (0.6447, 0.9013, 0.1334)  4 Ni 2.37-2.48
Ge (0.8553, 0.0987, 0.6334)  4 Ni 2.37-2.48
Ge (0.8553, 0.4013, 0.6334)  4 Ni 2.37-2.48

Results
**E_tot**: -145.1 eV per cell
**Spin magnetization**: 0.0 μB/cell
**Energy of formation**: -463 meV per atom
**Crystal system**: orthorhombic

This record from Alexandria via LeMat-Bulk describes a geometry-optimized Ca2NiGe structure. The functional is PBE-GGA.

a = 6.3312 Å, b = 6.3312 Å, c = 6.3312 Å
α = 103.70°, β = 103.70°, γ = 121.76°
Last column: nearest neighbours and their distance in Å.
Fractional coordinates of all 8 atoms:
Ca (0.0916, 0.6250, 0.9666)  2 Ni 2.70
Ca (0.3750, 0.3416, 0.4666)  2 Ni 2.70
Ca (0.6584, 0.1250, 0.0334)  2 Ni 2.70
Ca (0.8750, 0.9084, 0.5334)  2 Ni 2.70
Ni (0.0000, 0.0000, 0.0000)  4 Ca 2.70
Ni (0.7500, 0.2500, 0.5000)  4 Ca 2.70
Ge (0.2500, 0.7500, 0.5000)  4 Ca 3.05, 2 Ni 3.08
Ge (0.5000, 0.5000, 0.0000)  4 Ca 3.05, 2 Ni 3.08

Results
**E_tot**: -28.2 eV per cell
**Spin magnetization**: 0.0 μB/cell
**Energy of formation**: 75 meV per atom
**Crystal system**: tetragonal

This record from Alexandria via LeMat-Bulk describes a geometry-optimized CaNi4Ge structure. The functional is PBE-GGA.

a = 4.9034 Å, b = 4.9034 Å, c = 4.9034 Å
α = 60.00°, β = 60.00°, γ = 60.00°
Last column: nearest neighbours and their distance in Å.
Fractional coordinates of all 6 atoms:
Ca (0.0000, 0.0000, 0.0000)  12 Ni 2.88, 4 Ge 3.00
Ni (0.3761, 0.3761, 0.3761)  6 Ni 2.43-2.47
Ni (0.3761, 0.3761, 0.8716)  6 Ni 2.43-2.47
Ni (0.3761, 0.8716, 0.3761)  6 Ni 2.43-2.47
Ni (0.8716, 0.3761, 0.3761)  6 Ni 2.43-2.47
Ge (0.7500, 0.7500, 0.7500)  12 Ni 2.87, 4 Ca 3.00

Results
**E_tot**: -30.6 eV per cell
**Spin magnetization**: 0.0 μB/cell
**Energy of formation**: -143 meV per atom
**Crystal system**: cubic
**Polymorph energy (0 for the lowest one)**: 0.0083 eV/atom

This record from Alexandria via LeMat-Bulk describes a geometry-optimized CaNi2Ge4 structure. The functional is PBE-GGA.

a = 7.2297 Å, b = 7.2297 Å, c = 7.2297 Å
α = 138.90°, β = 138.90°, γ = 59.53°
Last column: nearest neighbours and their distance in Å.
Fractional coordinates of all 7 atoms:
Ca (0.0000, 0.0000, 0.0000)  4 Ge 2.54
Ni (0.4078, 0.4078, 0.0000)  1 Ge 2.21, 1 Ni 2.31
Ni (0.5922, 0.5922, 0.0000)  1 Ge 2.21, 1 Ni 2.31
Ge (0.0000, 0.5000, 0.5000)  2 Ca 2.54, 4 Ni 2.79
Ge (0.2314, 0.2314, 0.0000)  1 Ni 2.21
Ge (0.5000, 0.0000, 0.5000)  2 Ca 2.54, 4 Ni 2.79
Ge (0.7686, 0.7686, 0.0000)  1 Ni 2.21

Results
**E_tot**: -27.0 eV per cell
**Spin magnetization**: 0.0 μB/cell
**Energy of formation**: 713 meV per atom
**Crystal system**: tetragonal
**Polymorph energy (0 for the lowest one)**: 1.0738 eV/atom